# 1
Ta2TlVF | GGA+U | relaxed

The structure belongs to space group P4/mmm (No. 123); the cell edges are 4.981, 4.981 and 3.829 Å and the angles 90.00°, 90.00° and 90.00°. Symmetry generates all atoms from Ta at (0.000, 0.500, 0.000), Tl at (0.000, 0.000, 0.500), V at (0.500, 0.500, 0.000) and F at (0.500, 0.500, 0.500).

The calculation puts the total moment at 1.39 μB per formula unit. The calculation puts the volume at 95 Å³ per cell.

# 2
TaVF2 | GGA+U | relaxed

The structure belongs to space group Fm-3m (No. 225); the cell edges are 6.011, 6.011 and 6.011 Å and the angles 90.00°, 90.00° and 90.00°. Symmetry generates all atoms from Ta at (0.000, 0.000, 0.000), V at (0.000, 0.000, 0.500) and F at (0.250, 0.250, 0.250).

The calculation puts the total moment at 2.13 μB per formula unit. The calculation puts the volume at 217 Å³ per cell.

# 3
TaV3F | GGA+U | relaxed

The structure belongs to space group Pm-3m (No. 221); the cell edges are 4.318, 4.318 and 4.318 Å and the angles 90.00°, 90.00° and 90.00°. Symmetry generates all atoms from Ta at (0.000, 0.000, 0.000), V at (0.000, 0.500, 0.500) and F at (0.500, 0.500, 0.500).

The calculation puts the total moment at 6.56 μB per formula unit. The calculation puts the volume at 81 Å³ per cell.

# 4
TaV3F | GGA+U | relaxed

The structure belongs to space group Pm-3m (No. 221); the cell edges are 4.928, 4.928 and 4.928 Å and the angles 90.00°, 90.00° and 90.00°. Symmetry generates all atoms from Ta at (0.000, 0.000, 0.000), V at (0.000, 0.000, 0.500) and F at (0.500, 0.500, 0.500).

The calculation puts the total moment at 7.09 μB per formula unit. The calculation puts the volume at 120 Å³ per cell.

# 5
TaV2F | GGA+U | relaxed

The structure belongs to space group Fm-3m (No. 225); the cell edges are 6.453, 6.453 and 6.453 Å and the angles 90.00°, 90.00° and 90.00°. Symmetry generates all atoms from Ta at (0.000, 0.000, 0.000), V at (0.250, 0.250, 0.250) and F at (0.000, 0.000, 0.500).

The calculation puts the total moment at 5.31 μB per formula unit. The calculation puts the volume at 269 Å³ per cell.

# 6
TaVF2 | GGA+U | relaxed

The structure belongs to space group I-42d (No. 122); the cell edges are 5.021, 5.021 and 9.414 Å and the angles 90.00°, 90.00° and 90.00°. Symmetry generates all atoms from Ta at (0.000, 0.000, 0.000), V at (0.000, 0.000, 0.500) and F at (0.214, 0.250, 0.625).

The calculation puts the total moment at 1.83 μB per formula unit. The calculation puts the volume at 237 Å³ per cell.

# 7
TaVF | GGA+U | relaxed

The structure belongs to space group Amm2 (No. 38); the cell edges are 12.277, 2.957 and 5.134 Å and the angles 90.00°, 90.00° and 90.00°. Symmetry generates all atoms from Ta at (0.188, 0.000, 0.000), V at (0.000, 0.000, 0.331), V at (0.500, 0.000, 0.332) and F at (0.315, 0.000, 0.333).

The calculation puts the total moment at 3.22 μB per formula unit. The calculation puts the volume at 186 Å³ per cell.

# 8
TaV2F | GGA+U | relaxed

The structure belongs to space group I-42d (No. 122); the cell edges are 6.414, 6.414 and 6.339 Å and the angles 90.00°, 90.00° and 90.00°. Symmetry generates all atoms from Ta at (0.000, 0.000, 0.000), V at (0.161, 0.250, 0.625) and F at (0.000, 0.000, 0.500).

The calculation puts the total moment at 4.34 μB per formula unit. The calculation puts the volume at 261 Å³ per cell.

# 9
TaVF2 | GGA+U | relaxed

The structure belongs to space group R-3m (No. 166, hexagonal axes); the cell edges are 3.0838, 3.0838 and 21.4519 Å and the angles 90.00°, 90.00° and 120.00°. Symmetry generates all atoms from Ta at (0.0000, 0.0000, 0.0000), V at (0.0000, 0.0000, 0.5000) and F at (0.0000, 0.0000, 0.1145).

The calculation puts the total moment at 3.82 μB per formula unit. The calculation puts the volume at 177 Å³ per cell.

# 10
TaWF2 | GGA+U | relaxed

The structure belongs to space group Fm-3m (No. 225); the cell edges are 6.083, 6.083 and 6.083 Å and the angles 90.00°, 90.00° and 90.00°. Symmetry generates all atoms from Ta at (0.000, 0.000, 0.000), W at (0.000, 0.000, 0.500) and F at (0.250, 0.250, 0.250).

The calculation puts the total moment at 0.00 μB per formula unit. The calculation puts the volume at 225 Å³ per cell.

# 11
TaWF2 | GGA+U | relaxed

The structure belongs to space group I-42d (No. 122); the cell edges are 5.271, 5.271 and 10.125 Å and the angles 90.00°, 90.00° and 90.00°. Symmetry generates all atoms from Ta at (0.000, 0.000, 0.000), W at (0.000, 0.000, 0.500) and F at (0.216, 0.250, 0.125).

The calculation puts the total moment at 1.00 μB per formula unit. The calculation puts the volume at 281 Å³ per cell.

# 12
TaWF3 | GGA+U | relaxed

The structure belongs to space group Pm-3m (No. 221); the cell edges are 4.401, 4.401 and 4.401 Å and the angles 90.00°, 90.00° and 90.00°. Symmetry generates all atoms from Ta at (0.000, 0.000, 0.000), W at (0.500, 0.500, 0.500) and F at (0.000, 0.500, 0.500).

The calculation puts the total moment at 7.19 μB per formula unit. The calculation puts the volume at 85 Å³ per cell.

Per-record electronic total energy, eV per atom: -6.269, -5.693, -6.716, -5.405, -6.107, -6.267, -7.446, -6.669, -6.853, -5.342, -5.649, -5.328